# 1
## Tb3AgSn (PBE)

Data for Tb3AgSn after structural relaxation.

Unit cell a=8.310 b=8.310 c=8.509 alpha=90.05 beta=90.05 gamma=84.13
Atoms (fractional coordinates):
1 Tb 0.003 0.798 0.584
2 Tb 0.079 0.421 0.798
3 Tb 0.202 0.997 0.916
4 Tb 0.297 0.501 0.416
5 Tb 0.421 0.079 0.298
6 Tb 0.499 0.703 0.084
7 Tb 0.501 0.297 0.916
8 Tb 0.579 0.921 0.702
9 Tb 0.703 0.499 0.584
10 Tb 0.798 0.003 0.084
11 Tb 0.921 0.579 0.202
12 Tb 0.997 0.202 0.416
13 Ag 0.186 0.311 0.121
14 Ag 0.311 0.186 0.621
15 Ag 0.689 0.814 0.379
16 Ag 0.814 0.689 0.879
17 Sn 0.151 0.849 0.250
18 Sn 0.351 0.649 0.750
19 Sn 0.649 0.351 0.250
20 Sn 0.849 0.151 0.750

Calculated values
raw total energy: -4.48 eV/atom
total magnetization: 0.0 μB per cell
formation energy: -327 meV/atom

---

# 2
## Tb3Ag4Sn4 (PBE)

Data for Tb3Ag4Sn4 after structural relaxation.

Unit cell a=8.825 b=8.825 c=8.825 alpha=149.79 beta=130.64 gamma=58.97
Atoms (fractional coordinates):
1 Tb 0.000 0.000 0.000
2 Tb 0.373 0.873 0.500
3 Tb 0.627 0.127 0.500
4 Ag 0.026 0.329 0.698
5 Ag 0.369 0.671 0.698
6 Ag 0.631 0.329 0.302
7 Ag 0.974 0.671 0.302
8 Sn 0.215 0.215 0.000
9 Sn 0.303 0.500 0.803
10 Sn 0.697 0.500 0.197
11 Sn 0.785 0.785 0.000

Calculated values
raw total energy: -4.25 eV/atom
total magnetization: 0.0 μB per cell
formation energy: -493 meV/atom

---

# 3
## Tb8AgSn2 (PBE)

Data for Tb8AgSn2 after structural relaxation.

Unit cell a=10.001 b=10.001 c=6.785 alpha=103.83 beta=103.83 gamma=29.34
Atoms (fractional coordinates):
1 Tb 0.019 0.019 0.274
2 Tb 0.215 0.215 0.819
3 Tb 0.347 0.347 0.503
4 Tb 0.407 0.407 0.024
5 Tb 0.593 0.593 0.976
6 Tb 0.653 0.653 0.497
7 Tb 0.785 0.785 0.181
8 Tb 0.981 0.981 0.726
9 Ag 0.500 0.500 0.500
10 Sn 0.182 0.182 0.257
11 Sn 0.818 0.818 0.743

Calculated values
raw total energy: -4.66 eV/atom
total magnetization: 0.0 μB per cell
formation energy: -307 meV/atom

---

# 4
## TbAgSn3 (PBE)

Data for TbAgSn3 after structural relaxation.

Unit cell a=12.843 b=6.236 c=6.213 alpha=90.00 beta=90.00 gamma=90.00
Atoms (fractional coordinates):
1 Tb 0.191 0.007 0.250
2 Tb 0.191 0.493 0.750
3 Tb 0.809 0.507 0.250
4 Tb 0.809 0.993 0.750
5 Ag 0.388 0.250 0.000
6 Ag 0.388 0.250 0.500
7 Ag 0.612 0.750 0.000
8 Ag 0.612 0.750 0.500
9 Sn 0.001 0.750 0.000
10 Sn 0.001 0.750 0.500
11 Sn 0.238 0.510 0.250
12 Sn 0.238 0.990 0.750
13 Sn 0.425 0.651 0.750
14 Sn 0.425 0.849 0.250
15 Sn 0.575 0.151 0.750
16 Sn 0.575 0.349 0.250
17 Sn 0.762 0.010 0.250
18 Sn 0.762 0.490 0.750
19 Sn 0.999 0.250 0.000
20 Sn 0.999 0.250 0.500

Calculated values
raw total energy: -4.24 eV/atom
total magnetization: 0.0 μB per cell
formation energy: -338 meV/atom

---

Question: Which formula does entry 3 have?
Answer: Tb8AgSn2

---

Question: Which value of total magnetization does entry 1 give?
Answer: 0.0 μB per cell